Entry 1:
SrCrCd: optimized geometry, PBE-GGA.

```
SrCrCd
1.0
-1.906 1.906 5.716
1.906 -1.906 5.716
1.906 1.906 -5.716
Sr Cr Cd
1 1 1
Cartesian
0.000 0.000 0.000
0.000 0.000 7.993
0.000 0.000 3.422
```

Computed properties:
magnetic moment = 4.4 Bohr magnetons per cell
calculated density = 5.04 g/cm³
calculated total energy = -3.739 eV/atom

---

Entry 2:
SrCr2Cd: optimized geometry, PBE-GGA.

```
SrCr2Cd
1.0
-2.188 2.188 10.079
2.188 -2.188 10.079
2.188 2.188 -10.079
Sr Cr Cd
2 4 2
Cartesian
2.188 1.094 2.520
0.000 1.094 7.559
0.000 0.000 0.000
1.094 1.094 -5.039
1.094 -1.094 5.039
0.000 2.188 0.000
2.188 -1.094 7.559
0.000 3.282 2.520
```

Computed properties:
magnetic moment = 0.0 Bohr magnetons per cell
calculated density = 5.23 g/cm³
calculated total energy = -4.435 eV/atom